## MgCo4O8 (SCAN)

Data for MgCo4O8 at its PBEsol-relaxed geometry.

a b c (Å): 5.7867 5.7867 5.7867
angles (deg): 57.42 57.42 57.42
Closest atoms and distances in Å follow each position.
Element x y z (fractional)
Mg  0.0000  0.0000  0.0000  6 O 2.13
Co  0.0000  0.0000  0.5000  6 O 1.85-1.87
Co  0.0000  0.5000  0.0000  6 O 1.85-1.87
Co  0.5000  0.0000  0.0000  6 O 1.85-1.87
Co  0.5000  0.5000  0.5000  6 O 1.90
O  0.2300  0.2300  0.2300  3 Co 1.85
O  0.2303  0.7367  0.7367  3 Co 1.87-1.90
O  0.2633  0.2633  0.7697  3 Co 1.87-1.90
O  0.2633  0.7697  0.2633  3 Co 1.87-1.90
O  0.7367  0.2303  0.7367  3 Co 1.87-1.90
O  0.7367  0.7367  0.2303  3 Co 1.87-1.90
O  0.7697  0.2633  0.2633  3 Co 1.87-1.90
O  0.7700  0.7700  0.7700  3 Co 1.85

* symmetry: No. 166
* excess energy over the best structure of this formula in the dataset: 4 meV per atom
* VASP energy: -144.32 eV for the cell shown
* total moment: 2.0 μB/f.u.
* formation energy without anion corrections: -1560 meV per atom